Entry one
Material: HgAs2SeBr
Method: DFT, PBE-GGA
State: relaxed

Lattice parameters (Å, degrees): 5.221 5.221 5.272 90.00 90.00 90.00
Positions (direct):
Br  0.000  0.000  0.000
Se  0.000  0.000  0.500
As  0.500  0.000  0.000
As  0.000  0.500  0.000
Hg  0.500  0.500  0.500

Space group ... No. 123

=====

Entry two
Material: HgAs2SeBr
Method: DFT, PBE-GGA
State: relaxed

Lattice parameters (Å, degrees): 5.171 5.171 5.522 90.00 90.00 90.00
Positions (direct):
Br  0.000  0.000  0.500
As  0.000  0.500  0.000
As  0.500  0.000  0.000
Se  0.000  0.000  0.000
Hg  0.500  0.500  0.500

Space group ... No. 123

=====

Quick one: least stable of them? entry one